(1)
A plane-wave DFT calculation with PBE was carried out for CaPdI3 after structural relaxation.

POSCAR file:
```
CaPdI3
1.0
5.5464 0.0000 0.0000
0.0000 5.5464 0.0000
0.0000 0.0000 5.5464
Ca Pd I
1 1 3
Cartesian
0.0000 0.0000 0.0000 Ca
2.7732 2.7732 2.7732 Pd
0.0000 2.7732 2.7732 I
2.7732 0.0000 2.7732 I
2.7732 2.7732 0.0000 I
```

Calculated values
E above lowest polymorph   0.0 meV per atom
Space-group type   Pm-3m, No. 221
Formation energy without anion corrections   -0.59 eV per atom

=====

(2)
A plane-wave DFT calculation with PBE was carried out for CaPdI3 after structural relaxation.

POSCAR file:
```
CaPdI3
1.0
6.0617 0.0000 0.0000
0.0000 6.0617 0.0000
0.0000 0.0000 6.0617
Ca Pd I
1 1 3
Cartesian
0.0000 0.0000 0.0000 Ca
3.0309 3.0309 3.0309 Pd
0.0000 0.0000 3.0309 I
0.0000 3.0309 0.0000 I
3.0309 0.0000 0.0000 I
```

Calculated values
E above lowest polymorph   322.1 meV per atom
Space-group type   Pm-3m, No. 221
Formation energy without anion corrections   -0.27 eV per atom

=====

(3)
A plane-wave DFT calculation with PBE was carried out for CaPd3I after structural relaxation.

POSCAR file:
```
CaPd3I
1.0
5.0279 0.0000 0.0000
0.0000 5.0279 0.0000
0.0000 0.0000 5.0279
Ca Pd I
1 3 1
Cartesian
0.0000 0.0000 0.0000 Ca
0.0000 2.5139 2.5139 Pd
2.5139 0.0000 2.5139 Pd
2.5139 2.5139 0.0000 Pd
2.5139 2.5139 2.5139 I
```

Calculated values
E above lowest polymorph   0.0 meV per atom
Space-group type   Pm-3m, No. 221
Formation energy without anion corrections   0.05 eV per atom

=====

- What is the formula in the second record?
  CaPdI3

=====

Please write out number 3 again, unchanged.
A plane-wave DFT calculation with PBE was carried out for CaPd3I after structural relaxation.

POSCAR file:
```
CaPd3I
1.0
5.0279 0.0000 0.0000
0.0000 5.0279 0.0000
0.0000 0.0000 5.0279
Ca Pd I
1 3 1
Cartesian
0.0000 0.0000 0.0000 Ca
0.0000 2.5139 2.5139 Pd
2.5139 0.0000 2.5139 Pd
2.5139 2.5139 0.0000 Pd
2.5139 2.5139 2.5139 I
```

Calculated values
E above lowest polymorph   0.0 meV per atom
Space-group type   Pm-3m, No. 221
Formation energy without anion corrections   0.05 eV per atom

=====

- Which of these has the highest formation energy without anion corrections?
  CaPd3I